! PBE NaPrCdBi, relaxed; values from VASP
! DFT formation energy (eV/atom): -0.361
&SYSTEM
  ibrav = 0, nat = 4, ntyp = 4
/
ATOMIC_SPECIES
Pr 140.91 Pr.upf
Na 22.99 Na.upf
Bi 208.98 Bi.upf
Cd 112.41 Cd.upf
CELL_PARAMETERS angstrom
5.4995 0.0000 0.0000
2.7498 4.7627 0.0000
2.7498 1.5876 4.4903
ATOMIC_POSITIONS angstrom
Pr 5.4995 3.1751 2.2452
Na 0.0000 0.0000 0.0000
Bi 2.7498 1.5876 1.1226
Cd 8.2493 4.7627 3.3677



! PBE Ce4AlRu, relaxed; values from VASP
! DFT formation energy (eV/atom): -0.229
&SYSTEM
  ibrav = 0, nat = 12, ntyp = 3
/
ATOMIC_SPECIES
Ce 140.12 Ce.upf
Al 26.98 Al.upf
Ru 101.07 Ru.upf
CELL_PARAMETERS angstrom
5.8899 -0.5066 0.0000
-2.1167 8.0418 0.0000
-1.8866 -3.7676 6.2238
ATOMIC_POSITIONS angstrom
Ce -1.8480 -1.5631 5.0037
Ce 1.8969 2.7437 3.8042
Ce -1.0969 1.8164 5.0037
Ce -1.0687 5.0448 3.8042
Ce 2.9553 -1.2772 2.4196
Ce 2.9835 1.9512 1.2201
Ce -0.0103 1.0239 2.4196
Ce 3.7346 5.3307 1.2201
Al 0.4141 3.8943 1.3612
Al 1.4725 -0.1267 4.8626
Ru 1.4725 -0.1267 0.0161
Ru 0.4141 3.8943 6.2076



! PBE Nd2Y2Tm5, relaxed; values from VASP
! DFT formation energy (eV/atom): 0.209
&SYSTEM
  ibrav = 0, nat = 18, ntyp = 3
/
ATOMIC_SPECIES
Nd 144.24 Nd.upf
Y 88.91 Y.upf
Tm 168.93 Tm.upf
CELL_PARAMETERS angstrom
-5.7301 3.3726 9.7189
-5.5099 -3.0784 -2.1804
7.7562 -6.3994 -0.3401
ATOMIC_POSITIONS angstrom
Nd -0.0472 -0.0264 -0.0187
Nd -5.6672 0.1207 3.7506
Nd 0.4294 -3.4110 1.5931
Nd -5.0650 -3.3377 5.1495
Y -2.4915 -3.3126 -0.4088
Y -1.6156 -3.1408 7.3605
Y -2.6734 -0.0449 5.6625
Y -1.4337 -6.4086 1.2892
Tm 2.1506 -7.0391 0.2715
Tm -7.9148 -0.3402 6.0245
Tm 5.0082 -5.5603 1.1876
Tm -5.2625 1.2594 7.2887
Tm -0.1873 -0.6677 3.4823
Tm -2.1831 -4.8154 4.1567
Tm -3.1076 -2.1095 2.6726
Tm 0.7373 -3.3736 4.9664
Tm -5.4171 -1.8252 8.1266
Tm 3.0570 -3.6522 -0.4835



! PBE RbCu2I3, relaxed; values from VASP
! ΔE_f (raw) (kJ per mole of atoms): -58
&SYSTEM
  ibrav = 0, nat = 24, ntyp = 3
/
ATOMIC_SPECIES
Rb 85.47 Rb.upf
Cu 63.55 Cu.upf
I 126.90 I.upf
CELL_PARAMETERS angstrom
-0.1672 5.0554 -1.6058
-9.4229 1.5588 5.8884
7.8593 3.9248 11.5378
ATOMIC_POSITIONS angstrom
Rb -3.5625 2.7638 4.6873
Rb -3.9654 5.4430 13.1636
Rb 1.8317 7.7752 11.1331
Rb 2.2347 5.0961 2.6567
Cu 0.4121 4.9176 6.6615
Cu 0.3286 7.4408 5.8601
Cu 6.0685 6.5944 11.3513
Cu -2.1428 5.6214 9.1588
Cu -2.0593 3.0982 9.9603
Cu -7.7158 1.4214 5.2705
Cu -7.7992 3.9447 4.4690
Cu 5.9851 9.1176 10.5498
I 0.1749 2.9605 4.9173
I -2.2142 8.8258 14.8617
I 0.4835 1.7133 0.9586
I -1.9056 7.5786 10.9031
I 0.2645 4.3619 9.3200
I -2.7270 4.5393 1.4204
I -1.9953 6.1771 6.5004
I 0.9963 5.9998 14.4000
I -4.3798 4.2766 9.5350
I 2.6490 6.2624 6.2854
I -5.9024 5.6273 5.1762
I 4.1717 4.9118 10.6442



! PBE NiHgSb2, relaxed; values from VASP
! ΔE_f (raw) (kJ per mole of atoms): 4
&SYSTEM
  ibrav = 0, nat = 4, ntyp = 3
/
ATOMIC_SPECIES
Hg 200.59 Hg.upf
Ni 58.69 Ni.upf
Sb 121.76 Sb.upf
CELL_PARAMETERS angstrom
5.2806 0.0512 0.0254
4.2778 3.0964 0.0254
2.2793 0.7506 5.7445
ATOMIC_POSITIONS angstrom
Hg 5.5850 1.8391 3.6165
Ni 8.1126 2.6715 3.6286
Sb 3.0858 1.0161 5.6402
Sb 3.2524 1.0710 1.5523



! PBE DySbS, relaxed; values from VASP
! ΔE_f (raw) (kJ per mole of atoms): -131
&SYSTEM
  ibrav = 0, nat = 6, ntyp = 3
/
ATOMIC_SPECIES
Dy 162.50 Dy.upf
Sb 121.76 Sb.upf
S 32.06 S.upf
CELL_PARAMETERS angstrom
4.0755 0.0000 0.0000
0.0000 4.0755 0.0000
-2.0378 -2.0378 8.6974
ATOMIC_POSITIONS angstrom
Dy 0.0000 0.0000 5.9936
Dy 2.0378 2.0378 2.7037
Sb 0.0000 2.0378 0.0000
Sb 2.0378 0.0000 0.0000
S 0.0000 0.0000 3.2549
S 2.0378 2.0378 5.4425



! PBE HoMgAu6, relaxed; values from VASP
! DFT formation energy (eV/atom): -0.530
&SYSTEM
  ibrav = 0, nat = 8, ntyp = 3
/
ATOMIC_SPECIES
Ho 164.93 Ho.upf
Mg 24.30 Mg.upf
Au 196.97 Au.upf
CELL_PARAMETERS angstrom
-3.6403 -1.6416 -1.3791
-1.1408 -4.6028 2.0192
-5.4205 1.9726 5.4888
ATOMIC_POSITIONS angstrom
Ho -3.2806 -1.3151 3.7540
Mg 0.0000 0.0000 0.0000
Au -5.3245 -3.1786 4.8960
Au -6.2000 -0.4451 3.9530
Au -1.9940 -1.9159 1.0729
Au -4.0016 -3.8267 2.1759
Au -4.8771 -1.0932 1.2330
Au -8.2076 -2.3559 5.0560



In order of appearance, mass density = 6.852, 7.936, 7.438, 4.564, 9.029, 7.272, 15.011 Mg/m³.
In order of appearance, D(E_F) = 3.27, 26.40, 28.66, 0.00, 1.71, 1.74, 3.08 states/eV per cell.
In order of appearance, volume = 117.6, 288.1, 585.3, 863.5, 92.5, 144.5, 151.7 Å³ per cell.